The following is a DFT calculation (PBE) of Cu2PtSe after structural relaxation.

Raw formation energy: 128 meV per atom

Cell lengths 6.9774, 6.9774, 5.1546 Å; angles 90.00, 90.00, 90.00 degrees
Space group I-42d (No. 122)
One atom of each set of equivalent atoms:
Cu 0.2348 0.2500 0.1250 (multiplicity 8)
Pt 0.0000 0.0000 0.5000 (multiplicity 4)
Se 0.0000 0.0000 0.0000 (multiplicity 4)

The following is a DFT calculation (PBE) of Nd2HgAs after structural relaxation.

Excess energy over the best structure of this formula in the dataset: 0 meV per atom
Energy of formation: -930.2 meV/atom

Cell lengths 4.2233, 4.2233, 23.0262 Å; angles 90.00, 90.00, 120.00 degrees
Space group R-3m (No. 166, hexagonal axes)
One atom of each set of equivalent atoms:
Nd 0.0000 0.0000 0.2392 (multiplicity 6)
Hg 0.0000 0.0000 0.0000 (multiplicity 3)
As 0.0000 0.0000 0.5000 (multiplicity 3)

The following is a DFT calculation (PBE) of RbTiAuSe3 after structural relaxation.

Raw formation energy: -753 meV per atom

Cell lengths 10.9532, 8.7582, 8.3665 Å; angles 90.00, 106.85, 90.00 degrees
Space group C2/m (No. 12)
One atom of each set of equivalent atoms:
Rb 0.2040 0.0000 0.1246 (multiplicity 4)
Ti 0.0932 0.5000 0.3548 (multiplicity 4)
Au 0.0000 0.2621 0.5000 (multiplicity 4)
Se 0.0119 0.2797 0.8024 (multiplicity 8)
Se 0.1867 0.0000 0.5740 (multiplicity 4)

The following is a DFT calculation (PBE) of NbOs2Pt after structural relaxation.

Energy of formation: 189.3 meV/atom

Cell lengths 6.3144, 6.3144, 6.3144 Å; angles 90.00, 90.00, 90.00 degrees
Space group Fm-3m (No. 225)
One atom of each set of equivalent atoms:
Nb 0.0000 0.0000 0.0000 (multiplicity 4)
Os 0.2500 0.2500 0.2500 (multiplicity 8)
Pt 0.0000 0.0000 0.5000 (multiplicity 4)

The following is a DFT calculation (PBE) of SrTl10In2 after structural relaxation.

Energy of formation: -36.2 meV/atom

Cell lengths 6.3041, 16.0660, 16.2833 Å; angles 90.00, 90.00, 90.00 degrees
Space group Fmmm (No. 69)
One atom of each set of equivalent atoms:
Sr 0.0000 0.0000 0.0000 (multiplicity 4)
Tl 0.0000 0.1059 0.3972 (multiplicity 16)
Tl 0.0000 0.1796 0.1753 (multiplicity 16)
Tl 0.2500 0.0000 0.2500 (multiplicity 8)
In 0.2500 0.2500 0.0000 (multiplicity 8)

The following is a DFT calculation (PBE) of PuPaBi2 after structural relaxation.

Excess energy over the best structure of this formula in the dataset: 0 meV per atom
Energy of formation: -221.9 meV/atom

Cell lengths 3.8514, 3.8514, 7.7103 Å; angles 90.00, 90.00, 90.00 degrees
Space group P4/mmm (No. 123)
One atom of each set of equivalent atoms:
Pu 0.0000 0.0000 0.0000 (multiplicity 1)
Pa 0.0000 0.0000 0.5000 (multiplicity 1)
Bi 0.5000 0.5000 0.2553 (multiplicity 2)

The following is a DFT calculation (PBE) of BaMgOs after structural relaxation.

Excess energy over the best structure of this formula in the dataset: 131 meV per atom
Energy of formation: 737.9 meV/atom

Cell lengths 4.6040, 4.6040, 4.5258 Å; angles 90.00, 90.00, 120.00 degrees
Space group P-6m2 (No. 187)
One atom of each set of equivalent atoms:
Ba 0.0000 0.0000 0.0000 (multiplicity 1)
Mg 0.6667 0.3333 0.5000 (multiplicity 1)
Os 0.3333 0.6667 0.5000 (multiplicity 1)

The following is a DFT calculation (PBE) of TaNiW2 after structural relaxation.

Excess energy over the best structure of this formula in the dataset: 124 meV per atom
Energy of formation: 110.0 meV/atom

Cell lengths 5.3777, 9.0597, 2.7187 Å; angles 90.00, 110.04, 90.00 degrees
Space group C2/m (No. 12)
One atom of each set of equivalent atoms:
Ta 0.0000 0.0000 0.0000 (multiplicity 2)
Ni 0.0000 0.5000 0.0000 (multiplicity 2)
W 0.2500 0.2500 0.5000 (multiplicity 4)

The following is a DFT calculation (PBE) of Sc2BeFeCo after structural relaxation.

Energy of formation: 488.8 meV/atom

Cell lengths 4.6472, 4.6472, 3.7963 Å; angles 90.00, 90.00, 90.00 degrees
Space group P4/mmm (No. 123)
One atom of each set of equivalent atoms:
Sc 0.0000 0.5000 0.0000 (multiplicity 2)
Be 0.0000 0.0000 0.0000 (multiplicity 1)
Fe 0.0000 0.0000 0.5000 (multiplicity 1)
Co 0.5000 0.5000 0.5000 (multiplicity 1)

The following is a DFT calculation (PBE) of K2In2Hg after structural relaxation.

Excess energy over the best structure of this formula in the dataset: 64 meV per atom
Energy of formation: -70.8 meV/atom

Cell lengths 4.3397, 4.3397, 20.7702 Å; angles 90.00, 90.00, 90.00 degrees
Space group I4/mmm (No. 139)
One atom of each set of equivalent atoms:
K 0.0000 0.0000 0.1019 (multiplicity 4)
In 0.0000 0.5000 0.2500 (multiplicity 4)
Hg 0.0000 0.0000 0.5000 (multiplicity 2)

The following is a DFT calculation (PBE) of Ta2CoNi after structural relaxation.

Excess energy over the best structure of this formula in the dataset: 49 meV per atom
Energy of formation: -136.4 meV/atom

Cell lengths 3.9537, 3.9537, 7.3300 Å; angles 90.00, 90.00, 90.00 degrees
Space group I4/mmm (No. 139)
One atom of each set of equivalent atoms:
Ta 0.0000 0.5000 0.2500 (multiplicity 4)
Co 0.0000 0.0000 0.0000 (multiplicity 2)
Ni 0.0000 0.0000 0.5000 (multiplicity 2)

The following is a DFT calculation (PBE) of FeCuAs after structural relaxation.

Energy of formation: 264.2 meV/atom

Cell lengths 2.7043, 2.7043, 11.7664 Å; angles 90.00, 90.00, 90.00 degrees
Space group I4mm (No. 107)
One atom of each set of equivalent atoms:
Fe 0.0000 0.0000 0.0000 (multiplicity 2)
Cu 0.0000 0.0000 0.3540 (multiplicity 2)
As 0.0000 0.0000 0.6557 (multiplicity 2)

no.,N(E_F) (states/eV per cell)
1,6.16
2,12.81
3,0.38
4,16.78
5,25.83
6,13.50
7,1.83
8,7.74
9,4.06
10,9.36
11,8.01
12,4.42